1.
A plane-wave DFT calculation with PBE-GGA was carried out for a relaxed structure of Sc3TiSe6.

Cell: 7.864 7.864 7.864 Å, 90.28 90.28 90.28°
Element x y z (fractional)
Sc 0.082 0.576 0.241
Sc 0.241 0.082 0.576
Sc 0.424 0.759 0.918
Sc 0.576 0.241 0.082
Sc 0.759 0.918 0.424
Sc 0.918 0.424 0.759
Ti 0.000 0.000 0.000
Ti 0.500 0.500 0.500
Se 0.082 0.691 0.908
Se 0.092 0.918 0.309
Se 0.186 0.414 0.542
Se 0.309 0.092 0.918
Se 0.414 0.542 0.186
Se 0.458 0.814 0.586
Se 0.542 0.186 0.414
Se 0.586 0.458 0.814
Se 0.691 0.908 0.082
Se 0.814 0.586 0.458
Se 0.908 0.082 0.691
Se 0.918 0.309 0.092

Values from the calculation:
For the uncorrected energy, the calculation gives -124.7 eV/cell. The density is 4.48 Mg/m³. As for the space-group type: R-3. The formation energy (no corrections) is -1457 meV/atom.



2.
A plane-wave DFT calculation with PBE-GGA was carried out for a relaxed structure of ScTi2Se.

Cell: 7.761 7.761 5.308 Å, 90.00 90.00 90.00°
Element x y z (fractional)
Sc 0.000 0.000 0.000
Sc 0.000 0.500 0.250
Sc 0.500 0.000 0.750
Sc 0.500 0.500 0.500
Ti 0.187 0.250 0.625
Ti 0.250 0.687 0.875
Ti 0.250 0.813 0.375
Ti 0.313 0.250 0.125
Ti 0.687 0.750 0.125
Ti 0.750 0.187 0.375
Ti 0.750 0.313 0.875
Ti 0.813 0.750 0.625
Se 0.000 0.000 0.500
Se 0.000 0.500 0.750
Se 0.500 0.000 0.250
Se 0.500 0.500 0.000

Values from the calculation:
For the uncorrected energy, the calculation gives -106.1 eV/cell. The density is 4.56 Mg/m³. As for the space-group type: I-42d. The formation energy (no corrections) is -233 meV/atom.



3.
A plane-wave DFT calculation with PBE-GGA was carried out for a relaxed structure of ScTiSe3.

Cell: 6.513 6.513 6.478 Å, 99.66 99.66 120.61°
Element x y z (fractional)
Sc 0.165 0.835 0.000
Sc 0.835 0.165 0.000
Ti 0.336 0.664 0.500
Ti 0.664 0.336 0.500
Se 0.078 0.413 0.738
Se 0.262 0.262 0.256
Se 0.413 0.078 0.738
Se 0.587 0.922 0.262
Se 0.738 0.738 0.744
Se 0.922 0.587 0.262

Values from the calculation:
For the uncorrected energy, the calculation gives -63.0 eV/cell. The density is 4.92 Mg/m³. As for the space-group type: C2/m. The formation energy (no corrections) is -1362 meV/atom.



4.
A plane-wave DFT calculation with PBE-GGA was carried out for a relaxed structure of Sc3TiSe.

Cell: 5.005 5.005 5.005 Å, 90.00 90.00 90.00°
Element x y z (fractional)
Sc 0.000 0.000 0.500
Sc 0.000 0.500 0.000
Sc 0.500 0.000 0.000
Ti 0.000 0.000 0.000
Se 0.500 0.500 0.500

Values from the calculation:
For the uncorrected energy, the calculation gives -28.2 eV/cell. The density is 3.47 Mg/m³. As for the space-group type: Pm-3m. The formation energy (no corrections) is 445 meV/atom.



5.
A plane-wave DFT calculation with PBE-GGA was carried out for a relaxed structure of ScTiSe2.

Cell: 3.561 3.561 25.281 Å, 90.00 90.00 120.00°
Element x y z (fractional)
Sc 0.000 0.000 0.000
Sc 0.333 0.667 0.667
Sc 0.667 0.333 0.333
Ti 0.000 0.000 0.500
Ti 0.333 0.667 0.167
Ti 0.667 0.333 0.833
Se 0.000 0.000 0.105
Se 0.000 0.000 0.895
Se 0.333 0.667 0.562
Se 0.333 0.667 0.772
Se 0.667 0.333 0.228
Se 0.667 0.333 0.438

Values from the calculation:
For the uncorrected energy, the calculation gives -74.0 eV/cell. The density is 4.50 Mg/m³. As for the space-group type: R-3m. The formation energy (no corrections) is -871 meV/atom.



6.
A plane-wave DFT calculation with PBE-GGA was carried out for a relaxed structure of ScTiSe2.

Cell: 3.748 3.748 24.655 Å, 90.00 90.00 120.00°
Element x y z (fractional)
Sc 0.000 0.000 0.000
Sc 0.333 0.667 0.667
Sc 0.667 0.333 0.333
Ti 0.000 0.000 0.500
Ti 0.333 0.667 0.167
Ti 0.667 0.333 0.833
Se 0.000 0.000 0.398
Se 0.000 0.000 0.602
Se 0.333 0.667 0.064
Se 0.333 0.667 0.269
Se 0.667 0.333 0.731
Se 0.667 0.333 0.936

Values from the calculation:
For the uncorrected energy, the calculation gives -73.5 eV/cell. The density is 4.16 Mg/m³. As for the space-group type: R-3m. The formation energy (no corrections) is -828 meV/atom.



7.
A plane-wave DFT calculation with PBE-GGA was carried out for a relaxed structure of ScTiSe3.

Cell: 4.918 4.918 4.918 Å, 90.00 90.00 90.00°
Element x y z (fractional)
Sc 0.000 0.000 0.000
Ti 0.500 0.500 0.500
Se 0.000 0.500 0.500
Se 0.500 0.000 0.500
Se 0.500 0.500 0.000

Values from the calculation:
For the uncorrected energy, the calculation gives -28.0 eV/cell. The density is 4.60 Mg/m³. As for the space-group type: Pm-3m. The formation energy (no corrections) is -667 meV/atom.



8.
A plane-wave DFT calculation with PBE-GGA was carried out for a relaxed structure of ScTiSe3.

Cell: 10.036 10.036 6.544 Å, 90.00 90.00 158.51°
Element x y z (fractional)
Sc 0.161 0.839 0.500
Sc 0.839 0.161 0.000
Ti 0.335 0.665 0.493
Ti 0.665 0.335 0.993
Se 0.095 0.905 0.152
Se 0.250 0.750 0.828
Se 0.410 0.590 0.178
Se 0.590 0.410 0.678
Se 0.750 0.250 0.328
Se 0.905 0.095 0.652

Values from the calculation:
For the uncorrected energy, the calculation gives -62.8 eV/cell. The density is 4.53 Mg/m³. As for the space-group type: Cmc2_1. The formation energy (no corrections) is -1346 meV/atom.